Computed, not measured: crystalline Zr2CdRhW at its relaxed geometry at the GGA-PBEsol level of DFT.

abc: 4.5876 5.0152 5.0152
angles: 90.00 90.00 90.00
Positions (direct):
1 Zr 0.0000 0.5000 0.0000
2 Zr 0.0000 0.0000 0.5000
3 W 0.5000 0.5000 0.5000
4 Cd 0.0000 0.0000 0.0000
5 Rh 0.5000 0.0000 0.0000

## Properties
Density of states at the Fermi level   7.28 states/eV/cell
Calculated density   8.370 Mg/m³
Energy of formation from the pure elements   1.856 eV per atom

***

Computed, not measured: crystalline YCd2Rh at its relaxed geometry at the GGA-PBEsol level of DFT.

abc: 4.7975 4.7975 4.7975
angles: 60.00 60.00 60.00
Positions (direct):
1 Cd 0.2500 0.2500 0.2500
2 Cd 0.0000 0.0000 0.0000
3 Rh 0.5000 0.5000 0.5000
4 Y 0.7500 0.7500 0.7500

## Properties
Density of states at the Fermi level   2.41 states/eV/cell
Calculated density   8.861 Mg/m³
Energy of formation from the pure elements   -0.329 eV per atom

***

Computed, not measured: crystalline YCd2Rh2 at its relaxed geometry at the GGA-PBEsol level of DFT.

abc: 4.7065 4.7065 5.6904
angles: 114.43 114.43 90.00
Positions (direct):
1 Y 0.0000 0.0000 0.0000
2 Cd 0.3621 0.3621 0.7241
3 Cd 0.6379 0.6379 0.2759
4 Rh 0.2500 0.7500 0.5000
5 Rh 0.7500 0.2500 0.5000

## Properties
Density of states at the Fermi level   1.58 states/eV/cell
Calculated density   8.438 Mg/m³
Energy of formation from the pure elements   -0.052 eV per atom

***

Computed, not measured: crystalline YCd2Rh at its relaxed geometry at the GGA-PBEsol level of DFT.

abc: 3.7177 3.8745 6.1197
angles: 90.00 107.68 90.00
Positions (direct):
1 Y 0.5978 0.5000 0.1957
2 Cd 0.9213 0.0000 0.8426
3 Cd 0.3244 0.5000 0.6487
4 Rh 0.1596 0.0000 0.3191

## Properties
Density of states at the Fermi level   1.84 states/eV/cell
Calculated density   8.238 Mg/m³
Energy of formation from the pure elements   -0.345 eV per atom